The following is a DFT calculation (PBE-GGA) of ZrCdPt after structural relaxation.

Computed properties:
Crystal system = tetragonal
Formation enthalpy at 0 K = -0.55 eV/atom
Calculated volume = 57.9 Å³ per cell
Total DFT energy (no corrections) = -17.2 eV/f.u.
Space-group type = I4mm

Lattice parameters (Å, degrees): 5.238 5.238 5.238 140.39 140.39 57.27
Positions (direct):
Zr  0.000  0.000  0.000
Cd  0.682  0.682  0.000
Pt  0.349  0.349  0.000